(1)
## AlB3Sb (PBE)

Data for a relaxed AlB3Sb crystal.

Properties
VASP energy = -17.19 eV for the cell shown
Relative energy among the computed polymorphs = 471 meV/atom
Formation energy from raw total energies = 1033 kJ/mol of formula units
Theoretical density = 3.3 g/cm3
Magnetic moment = 0.0000 μB per atom

The structure in CIF format:
```
data_AlB3Sb
_chemical_formula_sum 'Al1 B3 Sb1'
_cell_length_a 4.490
_cell_length_b 4.490
_cell_length_c 4.490
_cell_angle_alpha 90.00
_cell_angle_beta 90.00
_cell_angle_gamma 90.00
_space_group_name_H-M_alt 'P m -3 m'
_space_group_IT_number 221
_space_group_name_Hall '-P 4 2 3'
loop_
_atom_site_label
_atom_site_type_symbol
_atom_site_fract_x
_atom_site_fract_y
_atom_site_fract_z
Al1 Al 0.000 0.000 0.000
B1 B 0.000 0.500 0.500
Sb1 Sb 0.500 0.500 0.500
```

=====

(2)
## Al2BSb (PBE)

Data for a relaxed Al2BSb crystal.

Properties
VASP energy = -58.52 eV for the cell shown
Relative energy among the computed polymorphs = 560 meV/atom
Formation energy from raw total energies = 353 kJ/mol of formula units
Theoretical density = 4.4 g/cm3
Magnetic moment = 0.0000 μB per atom

The structure in CIF format:
```
data_Al2BSb
_chemical_formula_sum 'Al8 B4 Sb4'
_cell_length_a 6.549
_cell_length_b 6.549
_cell_length_c 6.549
_cell_angle_alpha 90.00
_cell_angle_beta 90.00
_cell_angle_gamma 90.00
_space_group_name_H-M_alt 'F m -3 m'
_space_group_IT_number 225
_space_group_name_Hall '-F 4 2 3'
loop_
_atom_site_label
_atom_site_type_symbol
_atom_site_fract_x
_atom_site_fract_y
_atom_site_fract_z
Al1 Al 0.250 0.250 0.250
B1 B 0.000 0.000 0.000
Sb1 Sb 0.000 0.000 0.500
```

=====

(3)
## AlB3Sb (PBE)

Data for a relaxed AlB3Sb crystal.

Properties
VASP energy = -19.55 eV for the cell shown
Relative energy among the computed polymorphs = 0 meV/atom
Formation energy from raw total energies = 806 kJ/mol of formula units
Theoretical density = 4.0 g/cm3
Magnetic moment = 0.0000 μB per atom

The structure in CIF format:
```
data_AlB3Sb
_chemical_formula_sum 'Al1 B3 Sb1'
_cell_length_a 4.227
_cell_length_b 4.227
_cell_length_c 4.227
_cell_angle_alpha 90.00
_cell_angle_beta 90.00
_cell_angle_gamma 90.00
_space_group_name_H-M_alt 'P m -3 m'
_space_group_IT_number 221
_space_group_name_Hall '-P 4 2 3'
loop_
_atom_site_label
_atom_site_type_symbol
_atom_site_fract_x
_atom_site_fract_y
_atom_site_fract_z
Al1 Al 0.000 0.000 0.000
B1 B 0.000 0.000 0.500
Sb1 Sb 0.500 0.500 0.500
```